Entry from Alexandria via LeMat-Bulk: a relaxed NpMnRhO6 crystal (PBE+U).

Cell: 5.188 5.188 9.624 Å, 90.00 90.00 120.00°
Element x y z (fractional)
Np1 0.333 0.667 0.250
Np2 0.667 0.333 0.750
Mn1 0.000 0.000 0.000
Mn2 0.000 0.000 0.500
Rh1 0.333 0.667 0.750
Rh2 0.667 0.333 0.250
O1 0.003 0.342 0.632
O2 0.003 0.661 0.868
O3 0.339 0.342 0.868
O4 0.339 0.997 0.632
O5 0.342 0.003 0.132
O6 0.342 0.339 0.368
O7 0.658 0.661 0.632
O8 0.658 0.997 0.868
O9 0.661 0.003 0.368
O10 0.661 0.658 0.132
O11 0.997 0.339 0.132
O12 0.997 0.658 0.368

Calculated values
**Total moment**: 5.000 μB per formula unit
**Calculated total energy**: -148.614 eV for the cell shown
**D(E_F)**: 9.8 states/eV per cell
**SG**: P-31c, No. 163